# PBE with a Hubbard U CoSnO3, optimized geometry
data_CoSnO3
_space_group_name_H-M_alt 'P 1'
_space_group_IT_number 1
_cell_length_a 5.614
_cell_length_b 5.614
_cell_length_c 5.614
_cell_angle_alpha 56.67
_cell_angle_beta 56.67
_cell_angle_gamma 56.67
loop_
_space_group_symop_operation_xyz
'x,y,z'
loop_
_atom_site_label
_atom_site_fract_x
_atom_site_fract_y
_atom_site_fract_z
_atom_site_occupancy
Co1 0.141 0.141 0.141 1
Co2 0.859 0.859 0.859 1
Sn1 0.353 0.353 0.353 1
Sn2 0.647 0.647 0.647 1
O1 0.052 0.452 0.744 1
O2 0.256 0.948 0.548 1
O3 0.452 0.744 0.052 1
O4 0.548 0.256 0.948 1
O5 0.744 0.052 0.452 1
O6 0.948 0.548 0.256 1
# DFT total energy ... -6.17 eV per atom
# SG ... No. 148